Entry 1:
The following is a DFT calculation (GGA-PBE) of crystalline BC at its relaxed geometry.

POSCAR file:
```
BC
1.0
6.036 -1.325 0.000
6.036 1.325 0.000
-0.763 0.000 5.263
B C
6 6
Cartesian
0.000 0.000 0.000
-0.335 0.000 3.201
0.788 0.000 4.475
1.523 0.000 2.737
3.922 0.000 4.047
7.969 0.000 5.076
4.258 0.000 1.415
5.323 0.000 0.307
4.985 0.000 2.752
8.342 0.000 2.409
8.990 0.000 3.819
9.375 0.000 1.275
```

Calculated values
* space-group type: Cm, No. 8
* energy of formation: 0.34 eV/atom
* energy above the lowest structure with this stoichiometry: 0.38 eV per formula unit

Entry 2:
The following is a DFT calculation (GGA-PBE) of crystalline BC at its relaxed geometry.

POSCAR file:
```
BC
1.0
6.338 -1.335 0.000
6.338 1.335 0.000
-0.372 0.000 5.392
B C
6 6
Cartesian
0.000 0.000 0.000
0.298 0.000 3.721
3.124 0.000 5.145
7.149 0.000 5.163
8.867 0.000 2.766
11.360 0.000 1.016
3.349 0.000 2.506
4.269 0.000 1.264
4.280 0.000 3.783
7.493 0.000 3.515
8.650 0.000 4.979
11.377 0.000 3.968
```

Calculated values
* space-group type: Cm, No. 8
* energy of formation: 0.36 eV/atom
* energy above the lowest structure with this stoichiometry: 0.42 eV per formula unit

Entry 3:
The following is a DFT calculation (GGA-PBE) of crystalline BC at its relaxed geometry.

POSCAR file:
```
BC
1.0
4.296 -1.221 0.000
4.296 1.221 0.000
-4.172 0.000 7.437
B C
6 6
Cartesian
0.000 0.000 0.000
3.279 0.000 2.277
2.765 0.000 3.975
4.811 0.000 1.236
4.911 0.000 2.941
6.587 0.000 1.316
-3.365 0.000 6.054
-1.833 0.000 6.353
-1.014 0.000 5.051
1.168 0.000 3.850
0.502 0.000 5.236
2.835 0.000 7.175
```

Calculated values
* space-group type: Cm, No. 8
* energy of formation: 0.35 eV/atom
* energy above the lowest structure with this stoichiometry: 0.40 eV per formula unit

Entry 4:
The following is a DFT calculation (GGA-PBE) of crystalline BC at its relaxed geometry.

POSCAR file:
```
BC
1.0
4.762 0.000 0.000
0.000 2.578 0.000
-0.028 0.000 6.734
B C
6 6
Cartesian
0.000 0.000 0.000
0.326 1.289 2.576
2.489 1.289 1.469
2.885 0.000 3.909
3.613 1.289 6.056
4.346 0.000 1.644
0.591 1.289 4.098
1.348 0.000 4.563
1.418 0.000 6.128
2.126 1.289 6.636
2.849 0.000 2.239
3.813 1.289 4.457
```

Calculated values
* space-group type: Pm, No. 6
* energy of formation: 0.44 eV/atom
* energy above the lowest structure with this stoichiometry: 0.57 eV per formula unit

Entry 5:
The following is a DFT calculation (GGA-PBE) of crystalline BC at its relaxed geometry.

POSCAR file:
```
BC
1.0
4.818 0.000 0.000
0.000 2.600 0.000
-0.379 0.000 6.508
B C
6 6
Cartesian
0.352 0.650 1.213
0.359 0.650 3.225
1.677 0.650 5.178
2.762 1.950 1.330
4.080 1.950 3.283
4.087 1.950 5.294
0.835 1.950 5.786
1.186 1.950 0.769
1.862 0.650 3.438
2.577 1.950 3.070
3.253 0.650 5.739
3.604 0.650 0.721
```

Calculated values
* space-group type: P2_1/m, No. 11
* energy of formation: 0.39 eV/atom
* energy above the lowest structure with this stoichiometry: 0.48 eV per formula unit

Entry 6:
The following is a DFT calculation (GGA-PBE) of crystalline BC at its relaxed geometry.

POSCAR file:
```
BC
1.0
2.468 0.000 0.000
0.000 2.468 0.000
0.000 0.000 13.097
B C
6 6
Cartesian
0.000 0.000 0.000
0.000 0.000 3.903
0.000 0.000 9.195
0.000 1.234 5.245
1.234 0.000 7.852
1.234 1.234 6.549
0.000 1.234 1.083
0.000 1.234 10.225
1.234 0.000 2.873
1.234 0.000 12.015
1.234 1.234 1.973
1.234 1.234 11.125
```

Calculated values
* space-group type: P-4m2, No. 115
* energy of formation: 0.38 eV/atom
* energy above the lowest structure with this stoichiometry: 0.45 eV per formula unit